Computed, not measured: a relaxed CsBe2Mo2 crystal at the PBE-GGA level of DFT.

Cell: 3.814 3.814 15.543 Å, 90.00 90.00 90.00°
Space group I4/mmm (No. 139)
Inequivalent atoms, fractional coordinates:
Cs 0.000 0.000 0.000 (multiplicity 2)
Be 0.000 0.000 0.343 (multiplicity 4)
Mo 0.000 0.500 0.250 (multiplicity 4)

- formation energy from the elements (meV per atom) = 863
- ΔE to the lowest computed polymorph (eV/atom) = 0.000